A plane-wave DFT calculation with PBE-GGA was carried out for a relaxed structure of Ac8Ga2Ir.

Crystal system = monoclinic
Formation energy = -284.5 meV per atom
Symmetry = C2/m (12)
Electronic total energy = -4.63 eV/atom

```
data_Ac8Ga2Ir
_chemical_formula_sum 'Ac8 Ga2 Ir1'
_symmetry_space_group_name_H-M 'P 1'
_symmetry_Int_Tables_number 1
_cell_length_a 4.5482
_cell_length_b 9.2526
_cell_length_c 10.2843
_cell_angle_alpha 93.63
_cell_angle_beta 102.78
_cell_angle_gamma 90.00
loop_
_symmetry_equiv_pos_as_xyz
'x,y,z'
loop_
_atom_site_label
_atom_site_type_symbol
_atom_site_fract_x
_atom_site_fract_y
_atom_site_fract_z
Ac1 Ac 0.4021 0.4736 0.8042
Ac2 Ac 0.6499 0.9906 0.2998
Ac3 Ac 0.7752 0.6641 0.5503
Ac4 Ac 0.0059 0.2091 0.0119
Ac5 Ac 0.2248 0.3359 0.4497
Ac6 Ac 0.3501 0.0094 0.7002
Ac7 Ac 0.5979 0.5264 0.1958
Ac8 Ac 0.9941 0.7909 0.9881
Ga1 Ga 0.8308 0.2650 0.6616
Ga2 Ga 0.1692 0.7350 0.3384
Ir1 Ir 0.5000 0.0000 0.0000
```